Entry 1:
# Ce4CdGa3

A relaxed structure of Ce4CdGa3 (PBE, Alexandria via LeMat-Bulk).

Cell lengths 3.5683, 5.3058, 10.5645 Å; angles 90.00, 90.00, 90.00 degrees
With the nearest neighbours (Å) after each atom.
Positions (direct):
Ce1 0.0000 0.5000 0.7363  6 Ga 3.07-3.20, 2 Cd 3.31
Ce2 0.0000 0.5000 0.2637  6 Ga 3.07-3.20, 2 Cd 3.31
Ce3 0.0000 0.0000 0.0000  4 Ga 3.14, 4 Cd 3.20
Ce4 0.0000 0.0000 0.5000  8 Ga 3.20-3.24, 2 Ce 3.57
Ga1 0.5000 0.0000 0.2442  8 Ce 3.14-3.24
Ga2 0.5000 0.0000 0.7558  8 Ce 3.14-3.24
Ga3 0.5000 0.5000 0.5000  8 Ce 3.07-3.20
Cd1 0.5000 0.5000 0.0000  8 Ce 3.20-3.31, 2 Cd 3.57

Summary:
* SG: Pmmm (47)
* total energy: -4.578 eV per atom

Entry 2:
# Zn2IrOs2

A relaxed structure of Zn2IrOs2 (PBE, Alexandria via LeMat-Bulk).

Cell lengths 3.4903, 3.4903, 7.0786 Å; angles 75.73, 75.73, 90.00 degrees
With the nearest neighbours (Å) after each atom.
Positions (direct):
Zn1 0.5920 0.5920 0.8160  1 Zn 2.44, 4 Os 2.73
Zn2 0.4080 0.4080 0.1840  1 Zn 2.44, 4 Os 2.73
Os1 0.7500 0.2500 0.5000  4 Os 2.47, 4 Zn 2.73
Os2 0.2500 0.7500 0.5000  4 Os 2.47, 4 Zn 2.73
Ir1 0.0000 0.0000 0.0000  8 Zn 2.75

Summary:
* ΔE to the lowest computed polymorph: 239 meV per atom
* SG: I4/mmm (139)

Entry 3:
# La5PrN6

A relaxed structure of La5PrN6 (PBE, Alexandria via LeMat-Bulk).

Cell lengths 6.4803, 6.4808, 6.4817 Å; angles 60.00, 80.42, 70.55 degrees
With the nearest neighbours (Å) after each atom.
Positions (direct):
N1 0.7509 0.0829 0.3314  1 Pr 2.63, 5 La 2.64-2.67
N2 0.7503 0.7518 0.0000  1 Pr 2.63, 5 La 2.64-2.66
N3 0.2491 0.5857 0.3314  1 Pr 2.63, 5 La 2.64-2.67
N4 0.2497 0.2482 0.0000  1 Pr 2.63, 5 La 2.64-2.66
N5 0.7509 0.4143 0.6686  1 Pr 2.63, 5 La 2.64-2.67
N6 0.2491 0.9171 0.6686  1 Pr 2.63, 5 La 2.64-2.67
Pr1 0.0000 0.0000 0.0000  6 N 2.63
La1 0.5000 0.5000 0.0000  6 N 2.64-2.66
La2 0.0000 0.6668 0.6663  6 N 2.65
La3 0.5000 0.1660 0.6679  6 N 2.64-2.67
La4 0.5000 0.8340 0.3321  6 N 2.64-2.67
La5 0.0000 0.3332 0.3337  6 N 2.65

Summary:
* energy relative to the elements, uncorrected: -1.31 eV per atom
* SG: C2/m (12)

Entry 4:
# LiEuInRu

A relaxed structure of LiEuInRu (PBE, Alexandria via LeMat-Bulk).

Cell lengths 4.8356, 4.8356, 4.8356 Å; angles 60.00, 60.00, 60.00 degrees
With the nearest neighbours (Å) after each atom.
Positions (direct):
Li1 0.5000 0.5000 0.5000  4 In 2.96, 4 Eu 2.96
Eu1 0.2500 0.2500 0.2500  4 Li 2.96, 4 Ru 2.96
Ru1 0.0000 0.0000 0.0000  4 Eu 2.96, 4 In 2.96
In1 0.7500 0.7500 0.7500  4 Li 2.96, 4 Ru 2.96

Summary:
* SG: F-43m (216)
* total energy: -6.114 eV per atom

Entry 5:
# Pa2CoReN6

A relaxed structure of Pa2CoReN6 (PBE, Alexandria via LeMat-Bulk).

Cell lengths 4.2327, 5.3635, 5.3635 Å; angles 90.00, 90.00, 90.00 degrees
With the nearest neighbours (Å) after each atom.
Positions (direct):
Pa1 0.0153 0.0000 0.5000  4 N 2.30
Pa2 0.0153 0.5000 0.0000  4 N 2.30
Re1 0.5969 0.0000 0.0000  5 N 1.85-1.96
N1 0.7062 0.2511 0.7489  1 Co 1.90, 1 Re 1.96
N2 0.1815 0.5000 0.5000  2 Co 2.00-2.23
N3 0.7062 0.7489 0.7489  1 Co 1.90, 1 Re 1.96
N4 0.7062 0.2511 0.2511  1 Co 1.90, 1 Re 1.96
N5 0.1591 0.0000 0.0000  1 Re 1.85
N6 0.7062 0.7489 0.2511  1 Co 1.90, 1 Re 1.96
Co1 0.6537 0.5000 0.5000  5 N 1.90-2.00

Summary:
* energy relative to the elements, uncorrected: -0.54 eV per atom
* SG: P4mm (99)

Entry 6:
# SiBP2Au

A relaxed structure of SiBP2Au (PBE, Alexandria via LeMat-Bulk).

Cell lengths 5.7840, 3.3210, 11.7746 Å; angles 90.00, 91.16, 90.00 degrees
With the nearest neighbours (Å) after each atom.
Positions (direct):
P1 0.8064 0.5000 0.8363  1 B 1.93
P2 0.3346 0.0000 0.8897  2 B 1.88
P3 0.3346 0.5000 0.3897  2 B 1.88
P4 0.8064 0.0000 0.3363  1 B 1.93
Au1 0.8867 0.5000 0.6383  1 Si 2.35, 1 P 2.39
Au2 0.8867 0.0000 0.1383  1 Si 2.35, 1 P 2.39
Si1 0.9586 0.5000 0.4423  3 P 2.25-2.27, 1 Au 2.35
Si2 0.9586 0.0000 0.9423  3 P 2.25-2.27, 1 Au 2.35
B1 0.4836 0.0000 0.3748  3 P 1.88-1.93
B2 0.4836 0.5000 0.8748  3 P 1.88-1.93

Summary:
* ΔE to the lowest computed polymorph: 84 meV per atom
* energy relative to the elements, uncorrected: -0.02 eV per atom
* SG: Cm (8)

Entry 7:
# Nd2AsIr

A relaxed structure of Nd2AsIr (PBE, Alexandria via LeMat-Bulk).

Cell lengths 4.2238, 4.2238, 7.3141 Å; angles 73.22, 73.22, 60.00 degrees
With the nearest neighbours (Å) after each atom.
Positions (direct):
Nd1 0.7531 0.7531 0.7408  3 Ir 2.95, 3 As 3.02
Nd2 0.2469 0.2469 0.2592  3 Ir 2.95, 3 As 3.02
As1 0.0000 0.0000 0.0000  6 Nd 3.02
Ir1 0.5000 0.5000 0.5000  6 Nd 2.95

Summary:
* SG: R-3m (166)
* total energy: -6.631 eV per atom

Entry 8:
# Nd2DyEr6Tm

A relaxed structure of Nd2DyEr6Tm (PBE, Alexandria via LeMat-Bulk).

Cell lengths 9.6238, 8.7120, 8.7120 Å; angles 118.09, 94.61, 94.61 degrees
With the nearest neighbours (Å) after each atom.
Positions (direct):
Tm1 0.7500 0.5932 0.4068  8 Er 3.41-3.72, 2 Nd 3.53
Tm2 0.2500 0.4068 0.5932  8 Er 3.41-3.72, 2 Nd 3.53
Er1 0.3813 0.5038 0.2925  4 Er 3.21-3.47, 3 Nd 3.24-3.42, 2 Tm 3.41-3.53
Er2 0.1187 0.7075 0.4962  4 Er 3.21-3.47, 3 Nd 3.24-3.42, 2 Tm 3.41-3.53
Er3 0.1873 0.5752 0.0211  2 Er 3.21-3.54, 1 Nd 3.37, 1 Tm 3.43, 1 Dy 3.56
Er4 0.3127 0.9789 0.4248  2 Er 3.21-3.54, 1 Nd 3.37, 1 Tm 3.43, 1 Dy 3.56
Er5 0.8813 0.2925 0.5038  4 Er 3.21-3.47, 3 Nd 3.24-3.42, 2 Tm 3.41-3.53
Er6 0.9425 0.8745 0.2560  8 Er 3.38-3.77, 1 Nd 3.50, 1 Dy 3.63, 1 Tm 3.72
Er7 0.5575 0.7440 0.1255  8 Er 3.38-3.77, 1 Nd 3.50, 1 Dy 3.63, 1 Tm 3.72
Er8 0.6187 0.4962 0.7075  4 Er 3.21-3.47, 3 Nd 3.24-3.42, 2 Tm 3.41-3.53
Er9 0.6873 0.0211 0.5752  2 Er 3.21-3.54, 1 Nd 3.37, 1 Tm 3.43, 1 Dy 3.56
Er10 0.4425 0.2560 0.8745  8 Er 3.38-3.77, 1 Nd 3.50, 1 Dy 3.63, 1 Tm 3.72
Er11 0.0575 0.1255 0.7440  8 Er 3.38-3.77, 1 Nd 3.50, 1 Dy 3.63, 1 Tm 3.72
Er12 0.8127 0.4248 0.9789  2 Er 3.21-3.54, 1 Nd 3.37, 1 Tm 3.43, 1 Dy 3.56
Nd1 0.0431 0.2978 0.1942  5 Er 3.24-3.50, 2 Dy 3.34-3.36, 1 Tm 3.53
Nd2 0.5431 0.1942 0.2978  5 Er 3.24-3.50, 2 Dy 3.34-3.36, 1 Tm 3.53
Nd3 0.9569 0.7022 0.8058  5 Er 3.24-3.50, 2 Dy 3.34-3.36, 1 Tm 3.53
Nd4 0.4569 0.8058 0.7022  5 Er 3.24-3.50, 2 Dy 3.34-3.36, 1 Tm 3.53
Dy1 0.7500 0.0182 0.9818  4 Nd 3.34-3.36, 4 Er 3.56-3.63
Dy2 0.2500 0.9818 0.0182  4 Nd 3.34-3.36, 4 Er 3.56-3.63

Summary:
* SG: C2/c (15)
* total energy: -4.482 eV per atom

Entry 9:
# YNbW2

A relaxed structure of YNbW2 (PBE, Alexandria via LeMat-Bulk).

Cell lengths 4.7439, 4.7439, 4.7439 Å; angles 60.00, 60.00, 60.00 degrees
With the nearest neighbours (Å) after each atom.
Positions (direct):
W1 0.7500 0.7500 0.7500  4 Y 2.91, 4 Nb 2.91
W2 0.2500 0.2500 0.2500  4 Nb 2.91, 4 Y 2.91
Nb1 0.5000 0.5000 0.5000  8 W 2.91
Y1 0.0000 0.0000 0.0000  8 W 2.91

Summary:
* ΔE to the lowest computed polymorph: 0 meV per atom
* SG: Fm-3m (225)

Entry 10:
# Tb2CuGePt6

A relaxed structure of Tb2CuGePt6 (PBE, Alexandria via LeMat-Bulk).

Cell lengths 5.5526, 8.3178, 5.5508 Å; angles 70.65, 59.94, 90.05 degrees
With the nearest neighbours (Å) after each atom.
Positions (direct):
Tb1 0.7004 0.1016 0.5996  9 Pt 3.01-3.19, 3 Cu 3.30
Tb2 0.2996 0.8984 0.4004  9 Pt 3.01-3.19, 3 Cu 3.30
Pt1 0.2486 0.2549 0.9954  1 Ge 2.48, 1 Cu 2.51, 2 Pt 2.73
Pt2 0.7504 0.7445 0.4975  1 Ge 2.49, 1 Cu 2.52, 2 Pt 2.73
Pt3 0.7514 0.7451 0.0046  1 Ge 2.48, 1 Cu 2.51, 2 Pt 2.73
Pt4 0.2429 0.7448 0.0049  1 Ge 2.49, 1 Cu 2.52, 2 Pt 2.73
Pt5 0.7571 0.2552 0.9951  1 Ge 2.49, 1 Cu 2.52, 2 Pt 2.73
Pt6 0.2496 0.2555 0.5025  1 Ge 2.49, 1 Cu 2.52, 2 Pt 2.73
Ge1 0.5000 0.5000 0.0000  6 Pt 2.48-2.49
Cu1 0.0000 0.0000 0.0000  6 Pt 2.51-2.52

Summary:
* SG: C2/m (12)
* total energy: -6.166 eV per atom

Entry 11:
# Pt3Br

A relaxed structure of Pt3Br (PBE, Alexandria via LeMat-Bulk).

Cell lengths 8.2220, 8.2220, 8.2220 Å; angles 22.63, 22.63, 22.63 degrees
With the nearest neighbours (Å) after each atom.
Positions (direct):
Pt1 0.5000 0.5000 0.5000  6 Pt 2.65
Pt2 0.2452 0.2452 0.2452  3 Pt 2.65, 3 Br 2.82
Pt3 0.7548 0.7548 0.7548  3 Pt 2.65, 3 Br 2.82
Br1 0.0000 0.0000 0.0000  6 Pt 2.82

Summary:
* ΔE to the lowest computed polymorph: 24 meV per atom
* energy relative to the elements, uncorrected: 0.40 eV per atom
* SG: R-3m (166)

Entry 12:
# RbZr2Cr

A relaxed structure of RbZr2Cr (PBE, Alexandria via LeMat-Bulk).

Cell lengths 7.5377, 7.5377, 7.5387 Å; angles 60.00, 60.00, 90.00 degrees
With the nearest neighbours (Å) after each atom.
Positions (direct):
Rb1 0.0000 0.0000 0.0000  12 Zr 4.42, 4 Cr 4.62, 4 Rb 4.62
Rb2 0.7500 0.2500 0.5000  12 Zr 4.42, 4 Cr 4.62, 4 Rb 4.62
Zr1 0.3750 0.1250 0.2500  2 Cr 2.31
Zr2 0.8750 0.6250 0.7500  2 Cr 2.31
Zr3 0.3750 0.6250 0.2500  2 Cr 2.31
Zr4 0.3750 0.6250 0.7500  2 Cr 2.31
Cr1 0.2500 0.7500 0.5000  4 Zr 2.31
Cr2 0.5000 0.5000 0.0000  4 Zr 2.31

Summary:
* ΔE to the lowest computed polymorph: 0 meV per atom
* SG: Fd-3m (227)

Entry 13:
# ZrCrP2S

A relaxed structure of ZrCrP2S (PBE, Alexandria via LeMat-Bulk).

Cell lengths 4.4222, 4.4222, 4.6114 Å; angles 90.00, 90.00, 90.00 degrees
With the nearest neighbours (Å) after each atom.
Positions (direct):
S1 0.0000 0.0000 0.5000  2 Cr 2.31
P1 0.5000 0.0000 0.0000  2 Cr 2.21
P2 0.0000 0.5000 0.0000  2 Cr 2.21
Cr1 0.0000 0.0000 0.0000  4 P 2.21, 2 S 2.31
Zr1 0.5000 0.5000 0.5000  4 S 3.13, 8 P 3.19

Summary:
* ΔE to the lowest computed polymorph: 0 meV per atom
* energy relative to the elements, uncorrected: 0.05 eV per atom
* SG: P4/mmm (123)

Entry 14:
# FeSbP2S

A relaxed structure of FeSbP2S (PBE, Alexandria via LeMat-Bulk).

Cell lengths 4.2431, 4.2431, 5.0542 Å; angles 90.00, 90.00, 90.00 degrees
With the nearest neighbours (Å) after each atom.
Positions (direct):
P1 0.5000 0.0000 0.0000  2 Fe 2.12
P2 0.0000 0.5000 0.0000  2 Fe 2.12
S1 0.0000 0.0000 0.5000  2 Fe 2.53
Fe1 0.0000 0.0000 0.0000  4 P 2.12
Sb1 0.5000 0.5000 0.5000  4 S 3.00, 8 P 3.30

Summary:
* ΔE to the lowest computed polymorph: 0 meV per atom
* energy relative to the elements, uncorrected: 0.37 eV per atom
* SG: P4/mmm (123)

Entry 15:
# DyTc3P2

A relaxed structure of DyTc3P2 (PBE, Alexandria via LeMat-Bulk).

Cell lengths 4.0411, 8.1000, 9.4409 Å; angles 105.31, 90.00, 104.44 degrees
With the nearest neighbours (Å) after each atom.
Positions (direct):
Dy1 0.0000 0.0000 0.0000  6 P 3.01-3.03, 6 Tc 3.04-3.29
Dy2 0.8383 0.6765 0.2892  8 Tc 2.99-3.33, 6 P 3.01-3.05
Dy3 0.1617 0.3235 0.7108  8 Tc 2.99-3.33, 6 P 3.01-3.05
P1 0.5405 0.0810 0.7916  5 Tc 2.40-2.65
P2 0.6474 0.2947 0.4638  5 Tc 2.32-2.43
P3 0.3526 0.7053 0.5362  5 Tc 2.32-2.43
P4 0.8011 0.6022 0.8667  6 Tc 2.38-2.57
P5 0.1989 0.3978 0.1333  6 Tc 2.38-2.57
P6 0.4595 0.9190 0.2084  5 Tc 2.40-2.65
Tc1 0.2080 0.4159 0.3890  4 P 2.32-2.42
Tc2 0.3824 0.7649 0.7970  4 P 2.38-2.57, 1 Tc 2.55
Tc3 0.5000 0.0000 0.5000  4 P 2.43-2.65, 4 Tc 2.56
Tc4 0.9643 0.9286 0.6400  3 Tc 2.56-2.64, 4 P 2.57-2.68
Tc5 0.6791 0.3583 0.9798  4 P 2.40-2.46, 1 Tc 2.55
Tc6 0.0357 0.0714 0.3600  3 Tc 2.56-2.64, 4 P 2.57-2.68
Tc7 0.6176 0.2351 0.2030  4 P 2.38-2.57, 1 Tc 2.55
Tc8 0.3209 0.6417 0.0202  4 P 2.40-2.46, 1 Tc 2.55
Tc9 0.7920 0.5841 0.6110  4 P 2.32-2.42

Summary:
* SG: C2/m (12)
* total energy: -8.404 eV per atom

Entry 16:
# Co2SiTc

A relaxed structure of Co2SiTc (PBE, Alexandria via LeMat-Bulk).

Cell lengths 4.6875, 4.6875, 4.6875 Å; angles 143.31, 129.58, 63.95 degrees
With the nearest neighbours (Å) after each atom.
Positions (direct):
Si1 0.7500 0.2500 0.5000  4 Co 2.36, 4 Tc 2.48
Co1 0.5181 0.5181 0.0000  2 Si 2.36, 4 Co 2.50, 2 Tc 2.59
Co2 0.9819 0.9819 0.0000  2 Si 2.36, 4 Co 2.50, 2 Tc 2.59
Tc1 0.2500 0.7500 0.5000  4 Si 2.48, 8 Co 2.59-2.72

Summary:
* energy relative to the elements, uncorrected: -0.21 eV per atom
* SG: Immm (71)

Entry 17:
# NbMoAs3

A relaxed structure of NbMoAs3 (PBE, Alexandria via LeMat-Bulk).

Cell lengths 4.8557, 4.8557, 4.8557 Å; angles 90.00, 90.00, 90.00 degrees
With the nearest neighbours (Å) after each atom.
Positions (direct):
As1 0.0000 0.5000 0.0000  2 Mo 2.43
As2 0.5000 0.0000 0.0000  2 Mo 2.43
As3 0.0000 0.0000 0.5000  2 Mo 2.43
Mo1 0.0000 0.0000 0.0000  6 As 2.43
Nb1 0.5000 0.5000 0.5000  12 As 3.43

Summary:
* ΔE to the lowest computed polymorph: 0 meV per atom
* SG: Pm-3m (221)

Entry 18:
# YPuRu

A relaxed structure of YPuRu (PBE, Alexandria via LeMat-Bulk).

Cell lengths 3.4868, 5.8880, 7.3456 Å; angles 113.67, 75.68, 90.05 degrees
With the nearest neighbours (Å) after each atom.
Positions (direct):
Pu1 0.5630 0.7737 0.1480  1 Pu 2.47
Pu2 0.5630 0.3547 0.1481  1 Pu 2.47
Y1 0.8517 0.7753 0.5703  4 Ru 2.87-3.21
Y2 0.2744 0.3531 0.7258  4 Ru 2.87-3.21
Ru1 0.1691 0.9514 0.9224  4 Pu 2.82-2.87, 2 Y 2.87, 1 Ru 2.92
Ru2 0.9570 0.1769 0.3737  4 Pu 2.82-2.87, 2 Y 2.87, 1 Ru 2.92

Summary:
* ΔE to the lowest computed polymorph: 17 meV per atom
* SG: C2/m (12)

Entry 19:
# Nd4TlSbO

A relaxed structure of Nd4TlSbO (PBE, Alexandria via LeMat-Bulk).

Cell lengths 6.7623, 6.7613, 9.1853 Å; angles 90.00, 111.60, 90.00 degrees
With the nearest neighbours (Å) after each atom.
Positions (direct):
O1 0.7506 0.2500 0.5013  4 Nd 2.39
O2 0.2494 0.7500 0.4987  4 Nd 2.39
Nd1 0.9225 0.2500 0.8449  1 O 2.93, 1 Tl 3.19
Nd2 0.0000 0.5000 0.5000  2 O 2.39
Nd3 0.0775 0.7500 0.1551  1 O 2.93, 1 Tl 3.19
Nd4 0.5000 0.0000 0.5000  2 O 2.39
Nd5 0.5000 0.5000 0.5000  2 O 2.39
Nd6 0.0000 0.0000 0.5000  2 O 2.39
Nd7 0.4215 0.7500 0.8430  1 O 2.94, 1 Sb 3.24
Nd8 0.5785 0.2500 0.1570  1 O 2.94, 1 Sb 3.24
Tl1 0.8910 0.7500 0.7821  9 Nd 3.19-3.42
Tl2 0.1090 0.2500 0.2179  9 Nd 3.19-3.42
Sb1 0.3891 0.2500 0.7781  9 Nd 3.24-3.43
Sb2 0.6109 0.7500 0.2219  9 Nd 3.24-3.43

Summary:
* energy relative to the elements, uncorrected: -1.22 eV per atom
* SG: Cmcm (63)

Entry 20:
# Pr2SmDy6Y3

A relaxed structure of Pr2SmDy6Y3 (PBE, Alexandria via LeMat-Bulk).

Cell lengths 6.2144, 6.2144, 11.8729 Å; angles 94.99, 94.99, 119.97 degrees
With the nearest neighbours (Å) after each atom.
Positions (direct):
Y1 0.8335 0.1665 0.5000  6 Dy 3.55-3.56, 6 Y 3.58-3.59
Y2 0.1665 0.8335 0.5000  6 Dy 3.55-3.56, 6 Y 3.58-3.59
Y3 0.5000 0.5000 0.5000  6 Dy 3.55-3.56, 6 Y 3.59
Pr1 0.6666 0.3334 0.0000  3 Pr 3.59, 3 Sm 3.59, 6 Dy 3.61
Pr2 0.3334 0.6666 0.0000  3 Pr 3.59, 3 Sm 3.59, 6 Dy 3.61
Dy1 0.4177 0.0848 0.2528  3 Y 3.55-3.56, 6 Dy 3.58-3.59, 2 Pr 3.61, 1 Sm 3.61
Dy2 0.7520 0.7520 0.2529  3 Y 3.55-3.56, 6 Dy 3.58-3.59, 1 Sm 3.61, 2 Pr 3.61
Dy3 0.5823 0.9152 0.7472  3 Y 3.55-3.56, 6 Dy 3.58-3.59, 2 Pr 3.61, 1 Sm 3.61
Dy4 0.0848 0.4177 0.2528  3 Y 3.55-3.56, 6 Dy 3.58-3.59, 2 Pr 3.61, 1 Sm 3.61
Dy5 0.2480 0.2480 0.7471  3 Y 3.55-3.56, 6 Dy 3.58-3.59, 1 Sm 3.61, 2 Pr 3.61
Dy6 0.9152 0.5823 0.7472  3 Y 3.55-3.56, 6 Dy 3.58-3.59, 2 Pr 3.61, 1 Sm 3.61
Sm1 0.0000 0.0000 0.0000  6 Pr 3.59, 6 Dy 3.61

Summary:
* SG: C2/m (12)
* total energy: -5.088 eV per atom